No. 1
PBE-GGA Pm2Mg7, relaxed; crystal system = trigonal; E_tot = -2.34 eV per atom
1.0
3.0202 1.7437 14.8532
-3.0202 1.7437 14.8532
0.0000 -3.4874 14.8532
Pm Mg
4 14
Cartesian
0.0000 0.0000 2.3090
0.0000 0.0000 6.7846
0.0000 0.0000 37.7751
0.0000 0.0000 42.2507
-1.5101 -0.8719 14.8532
-1.5240 -0.8799 19.8052
0.0000 0.0000 12.3916
0.0000 -1.7597 24.7545
-1.5240 0.8799 24.7545
0.0000 0.0000 17.3367
-1.5101 0.8719 29.7064
0.0000 1.7437 14.8532
0.0000 0.0000 22.2798
0.0000 0.0000 27.2229
1.5240 -0.8799 19.8052
0.0000 1.7597 19.8052
0.0000 0.0000 32.1681
1.5240 0.8799 24.7545

No. 2
PBE-GGA Pm3Mg, relaxed; energy above the lowest structure with this stoichiometry = 21 meV/atom; crystal system = cubic; E_tot = -3.96 eV per atom
1.0
5.0128 0.0000 0.0000
0.0000 5.0128 0.0000
0.0000 0.0000 5.0128
Pm Mg
3 1
Cartesian
0.0000 0.0000 2.5064
0.0000 2.5064 0.0000
2.5064 0.0000 0.0000
2.5064 2.5064 2.5064